Below is a relaxed structure of CdInGa2Rh, with properties calculated at the GGA-PBE level.

The structure in extended XYZ format:
```
5
Lattice="4.815 0.000 0.000 0.000 4.815 0.000 0.000 0.000 5.227" Properties=species:S:1:pos:R:3 pbc="T T T"
Cd 0.000 0.000 0.000
In 2.408 2.408 0.000
Ga 0.000 2.408 2.614
Ga 2.408 0.000 2.614
Rh 2.408 2.408 2.614
```

Output
Crystal system: tetragonal
Energy of formation, kJ/mol of atoms: -14.7
Magnetization, μB per cell: 0.00
SG: P4/mmm (123)